Model i:
A plane-wave DFT calculation with SCAN was carried out for MgTlPb at its PBEsol-relaxed geometry.

The space group is Imm2 (No. 44) and the conventional cell measures 3.4469, 4.4968 and 10.2203 Å, with angles of 90.00, 90.00 and 90.00 degrees. The distinct sites, in fractional coordinates, are Mg at (0.0000, 0.0000, 0.0000), Tl at (0.0000, 0.0000, 0.3399) and Pb at (0.0000, 0.0000, 0.6635).

---

Model ii:
A plane-wave DFT calculation with SCAN was carried out for MgTlPb at its PBEsol-relaxed geometry.

The space group is I4mm (No. 107) and the conventional cell measures 3.4348, 3.4348 and 13.4229 Å, with angles of 90.00, 90.00 and 90.00 degrees. The distinct sites, in fractional coordinates, are Mg at (0.0000, 0.0000, 0.0000), Tl at (0.0000, 0.0000, 0.3429) and Pb at (0.0000, 0.0000, 0.6585).

---

Q: Which of them is the least stable? A: model i.

---

Model i:
A plane-wave DFT calculation with SCAN was carried out for MgPbW2 at its PBEsol-relaxed geometry.

The space group is C2/m (No. 12) and the conventional cell measures 9.8298, 3.1722 and 4.7896 Å, with angles of 90.00, 99.07 and 90.00 degrees. The distinct sites, in fractional coordinates, are Mg at (0.0000, 0.0000, 0.0000), Pb at (0.0000, 0.5000, 0.5000) and W at (0.2504, 0.0000, 0.7865).

---

Model ii:
A plane-wave DFT calculation with SCAN was carried out for MgPbW2 at its PBEsol-relaxed geometry.

The space group is Immm (No. 71) and the conventional cell measures 3.3432, 4.5370 and 9.3611 Å, with angles of 90.00, 90.00 and 90.00 degrees. The distinct sites, in fractional coordinates, are Mg at (0.0000, 0.0000, 0.0000), Pb at (0.0000, 0.0000, 0.5000) and W at (0.0000, 0.5000, 0.2487).

---

Q: Which of them is the least stable? A: model ii.

---

Model i:
A plane-wave DFT calculation with SCAN was carried out for Pm2Mg at its PBEsol-relaxed geometry.

The space group is Cmcm (No. 63) and the conventional cell measures 3.7409, 17.1418 and 5.5204 Å, with angles of 90.00, 90.00 and 90.00 degrees. The distinct sites, in fractional coordinates, are Pm at (0.0000, 0.0891, 0.2500), Pm at (0.0000, 0.2289, 0.7500) and Mg at (0.0000, 0.4315, 0.2500).

---

Model ii:
A plane-wave DFT calculation with SCAN was carried out for Pm2Mg at its PBEsol-relaxed geometry.

The space group is I4/mmm (No. 139) and the conventional cell measures 3.5902, 3.5902 and 13.6938 Å, with angles of 90.00, 90.00 and 90.00 degrees. The distinct sites, in fractional coordinates, are Pm at (0.0000, 0.0000, 0.1612) and Mg at (0.0000, 0.0000, 0.5000).

---

Q: Which of them is the least stable? A: model ii.

---

Model i:
A plane-wave DFT calculation with SCAN was carried out for Pr5Mg at its PBEsol-relaxed geometry.

The space group is R32 (No. 155, hexagonal axes) and the conventional cell measures 6.2592, 6.2592 and 17.0401 Å, with angles of 90.00, 90.00 and 120.00 degrees. The distinct sites, in fractional coordinates, are Pr at (0.0000, 0.0000, 0.1581), Pr at (0.0000, 0.6298, 0.0000) and Mg at (0.0000, 0.0000, 0.5000).

---

Model ii:
A plane-wave DFT calculation with SCAN was carried out for Pr5Mg at its PBEsol-relaxed geometry.

The space group is Amm2 (No. 38) and the conventional cell measures 5.8192, 3.6744 and 18.0939 Å, with angles of 90.00, 90.00 and 90.00 degrees. The distinct sites, in fractional coordinates, are Pr at (0.0000, 0.0000, 0.0000), Pr at (0.0000, 0.0000, 0.3223), Pr at (0.5000, 0.0000, 0.1241), Pr at (0.5000, 0.0000, 0.4564), Pr at (0.5000, 0.0000, 0.7844) and Mg at (0.0000, 0.0000, 0.6629).

---

Q: Which of them is the least stable? A: model ii.

---

Model i:
A plane-wave DFT calculation with SCAN was carried out for Pr2MgSe4 at its PBEsol-relaxed geometry.

The space group is Pnma (No. 62) and the conventional cell measures 14.3403, 8.5274 and 6.9333 Å, with angles of 90.00, 90.00 and 90.00 degrees. The distinct sites, in fractional coordinates, are Pr at (0.0000, 0.0000, 0.0000), Pr at (0.2299, 0.2500, 0.4833), Mg at (0.0968, 0.7500, 0.4099), Se at (0.0688, 0.2500, 0.7437), Se at (0.0891, 0.7500, 0.7745) and Se at (0.1733, 0.5153, 0.2341).

---

Model ii:
A plane-wave DFT calculation with SCAN was carried out for Pr2MgSe4 at its PBEsol-relaxed geometry.

The space group is Fd-3m (No. 227, origin choice 2) and the conventional cell measures 11.9012, 11.9012 and 11.9012 Å, with angles of 90.00, 90.00 and 90.00 degrees. The distinct sites, in fractional coordinates, are Pr at (0.0000, 0.0000, 0.0000), Mg at (0.1250, 0.1250, 0.6250) and Se at (0.0021, 0.0021, 0.2479).

---

Q: Which of them is the least stable? A: model ii.

---

Model i:
A plane-wave DFT calculation with SCAN was carried out for Mg2TcPt at its PBEsol-relaxed geometry.

The space group is C2/m (No. 12) and the conventional cell measures 5.6439, 8.7927 and 2.7029 Å, with angles of 90.00, 112.57 and 90.00 degrees. The distinct sites, in fractional coordinates, are Mg at (0.2500, 0.2500, 0.0000), Tc at (0.0000, 0.0000, 0.5000) and Pt at (0.0000, 0.5000, 0.5000).

---

Model ii:
A plane-wave DFT calculation with SCAN was carried out for Mg2TcPt at its PBEsol-relaxed geometry.

The space group is I4/mmm (No. 139) and the conventional cell measures 3.9382, 3.9382 and 8.0790 Å, with angles of 90.00, 90.00 and 90.00 degrees. The distinct sites, in fractional coordinates, are Mg at (0.0000, 0.5000, 0.2500), Tc at (0.0000, 0.0000, 0.0000) and Pt at (0.0000, 0.0000, 0.5000).

---

Q: Which of them is the least stable? A: model ii.